DFT (PBE-GGA) results for a relaxed Tm2NbS6 crystal.

Unit cell a=6.181 b=6.181 c=11.517 alpha=90.00 beta=90.00 gamma=90.00
Fractional coordinates of all 18 atoms:
Tm 0.000 0.000 0.170
Tm 0.000 0.000 0.830
Tm 0.500 0.500 0.330
Tm 0.500 0.500 0.670
Nb 0.000 0.000 0.500
Nb 0.500 0.500 0.000
S 0.195 0.195 0.349
S 0.195 0.195 0.651
S 0.212 0.212 0.000
S 0.288 0.712 0.500
S 0.305 0.695 0.151
S 0.305 0.695 0.849
S 0.695 0.305 0.151
S 0.695 0.305 0.849
S 0.712 0.288 0.500
S 0.788 0.788 0.000
S 0.805 0.805 0.349
S 0.805 0.805 0.651

Formation energy without anion corrections ... -1.27 eV per atom
Raw total energy ... -6.135 eV/atom

=====

DFT (PBE-GGA) results for a relaxed Rb2GaCl4 crystal.

Unit cell a=9.127 b=9.127 c=9.127 alpha=147.54 beta=147.54 gamma=46.57
Fractional coordinates of all 7 atoms:
Rb 0.143 0.143 0.000
Rb 0.857 0.857 0.000
Ga 0.500 0.500 0.000
Cl 0.000 0.500 0.500
Cl 0.341 0.341 0.000
Cl 0.500 0.000 0.500
Cl 0.659 0.659 0.000

Formation energy without anion corrections ... -1.51 eV per atom
Raw total energy ... -3.270 eV/atom

=====

Which formula does entry 2 have? Rb2GaCl4

=====

The lowest formation energy without anion corrections belongs to which entry? Rb2GaCl4